(1)
Density functional theory data (PBE-GGA) for a relaxed structure of Ac2RuN4.

POSCAR file:
```
Ac2RuN4
1.0
-1.4342 5.3316 -1.8971
-7.0031 -2.5597 -1.8995
-3.4887 2.4591 9.5483
N Ac Ru
16 8 4
Cartesian
-7.4496 -0.9657 -1.5734
-7.5849 1.5053 0.8242
-4.0936 4.8769 -1.0067
-4.4764 6.1966 7.3251
-8.2768 4.0774 -0.0910
-3.6492 1.1535 5.8427
-3.4017 2.3047 -0.0915
-4.3411 3.7257 4.9275
-8.5243 2.9262 5.8431
-8.1798 0.6496 3.5181
-5.1444 1.1575 2.6507
-6.7816 4.0735 3.1010
-3.7462 4.5813 2.2335
-7.8324 0.3540 6.7584
-5.8464 2.7529 7.6652
-6.0796 2.4780 -1.9135
-5.6255 3.4688 0.5275
-8.7542 1.9261 -1.4427
-3.1718 3.3048 7.1944
-6.8003 5.3920 6.8208
-2.9043 2.0211 3.3843
-6.3005 1.7622 5.2242
-5.1257 -0.1611 -1.0691
-9.0217 3.2098 2.3674
-6.7994 0.5474 2.1873
-2.1111 0.9907 -0.1110
-5.1266 4.6835 3.5643
-9.8149 4.2402 5.8626
```

- space group = Pnma, No. 62
- calculated total energy (eV/atom) = -7.86

=====

(2)
Density functional theory data (PBE-GGA) for a relaxed structure of Ac6RuN.

POSCAR file:
```
Ac6RuN
1.0
-5.0798 4.8501 0.8061
-3.5577 -4.3980 4.1357
1.1193 0.0071 6.9174
Ru Ac N
1 6 1
Cartesian
-0.0505 -0.0909 0.2289
-3.8985 -1.8166 3.3113
-4.8400 2.0867 2.0894
-1.0912 1.2302 2.5762
-1.7490 -0.1260 6.5085
-2.9707 3.4445 5.6060
-5.8704 0.4030 5.8094
-2.5905 2.3339 0.6326
```

- space group = C2/m, No. 12
- calculated total energy (eV/atom) = -5.53

=====

(3)
Density functional theory data (PBE-GGA) for a relaxed structure of Ac2RuN3.

POSCAR file:
```
Ac2RuN3
1.0
-5.1695 -2.0568 0.0106
-0.4643 -6.3633 -1.0220
0.0328 -2.3587 12.3170
Ac N Ru
8 12 4
Cartesian
-3.1143 -4.5850 3.9253
-4.8183 -7.8458 4.5403
-3.4601 -4.8696 11.2957
-5.2859 -7.7911 9.8969
-2.1410 -5.9092 0.0099
-0.7828 -2.9331 6.7652
-2.4868 -6.1939 7.3802
-0.3152 -2.9878 1.4087
-3.4603 -3.8550 6.4269
-3.5314 -6.7472 2.3002
-4.7671 -6.9604 -0.3533
-5.1413 -2.6969 3.0801
-0.8339 -3.8185 11.6589
-0.7373 -3.3607 4.1669
-2.1408 -6.9239 4.8786
-4.8637 -7.4182 7.1386
-2.9090 -3.6664 1.2721
-2.6920 -7.1124 10.0334
-2.0696 -4.0317 9.0054
-0.4597 -8.0820 8.2254
-1.4626 -1.3909 3.9728
-1.9401 -8.8590 9.1236
-4.1385 -9.3880 7.3328
-3.6609 -1.9198 2.1819
```

- space group = C2/c, No. 15
- calculated total energy (eV/atom) = -7.79

=====

(4)
Density functional theory data (PBE-GGA) for a relaxed structure of AcRuN3.

POSCAR file:
```
AcRuN3
1.0
-4.0086 0.3536 -1.6305
3.4227 -3.5228 -3.3976
-2.6177 -5.0859 5.3326
N Ru Ac
6 2 2
Cartesian
-2.7517 -2.5991 0.4202
-4.1783 -5.6817 3.2591
0.9748 -2.5733 -2.9546
-0.4519 -5.6560 -0.1157
-3.0415 -3.6475 0.9055
-0.1620 -4.6076 -0.6010
-2.3177 -0.9376 -0.2863
-0.8858 -7.3174 0.5908
-1.6227 -5.0995 2.8835
-1.5808 -3.1555 -2.5790
```

- space group = C2/m, No. 12
- calculated total energy (eV/atom) = -8.01

=====

(5)
Density functional theory data (PBE-GGA) for a relaxed structure of AcSc2RuN4.

POSCAR file:
```
AcSc2RuN4
1.0
-0.0116 2.8338 1.8930
-3.8438 0.9582 -4.5257
-8.3585 -4.1847 6.2132
Sc N Ac Ru
4 8 2 2
Cartesian
-4.8535 0.1207 2.8573
-7.3604 -0.5133 0.7232
-1.3608 1.8693 0.2611
-10.8531 -2.2619 3.3195
-9.2677 -1.1717 4.7649
-9.5472 -1.1158 1.6119
-4.1792 -2.0923 3.1066
-5.2668 -0.3827 0.5406
-2.6667 0.7232 1.9686
-2.9462 0.7791 -1.1844
0.0000 0.0000 0.0000
-6.9471 -0.0099 3.0399
-5.1524 2.2568 -0.3424
-7.0615 -2.6494 3.9229
-3.3097 -0.2934 0.4189
-8.9042 -0.0992 3.1616
```

- space group = Cmcm, No. 63
- calculated total energy (eV/atom) = -8.42

=====

(6)
Density functional theory data (PBE-GGA) for a relaxed structure of AcSiRu2N.

POSCAR file:
```
AcSiRu2N
1.0
-2.0665 1.4824 -3.0912
5.2576 -2.2864 -2.0194
-3.1741 -6.4436 -0.9682
Ru Si N Ac
4 2 2 2
Cartesian
1.6224 -0.6555 -3.9907
-1.6053 -6.5921 -2.0881
0.3904 -3.1565 -4.3665
-0.3734 -4.0911 -1.7123
-1.5057 -4.7895 -3.8820
1.5227 -2.4582 -2.1968
0.0000 0.0000 0.0000
-1.5870 -3.2218 -0.4841
1.4108 -6.2196 -3.9257
-1.3938 -1.0281 -2.1531
```

- space group = Cmcm, No. 63
- calculated total energy (eV/atom) = -7.93

=====

(7)
Density functional theory data (PBE-GGA) for a relaxed structure of AcSiRuN.

POSCAR file:
```
AcSiRuN
1.0
-3.7735 -1.4138 -0.9696
1.3522 -1.0137 -3.7844
2.1044 -7.5127 2.7643
N Si Ru Ac
2 2 2 2
Cartesian
-0.0799 -7.1573 1.8886
0.9737 -1.5691 -1.5013
-0.5357 -5.5300 1.2899
1.4295 -3.1964 -0.9026
1.0522 -3.7563 1.3822
-0.1584 -4.9701 -0.9948
2.4270 -6.7573 0.4077
-1.5332 -1.9691 -0.0204
```

- space group = P4/nmm, No. 129
- calculated total energy (eV/atom) = -7.83

=====

(8)
Density functional theory data (PBE-GGA) for a relaxed structure of AcSm2RuN4.

POSCAR file:
```
AcSm2RuN4
1.0
3.5666 0.0000 0.0000
-1.7833 6.0643 0.0000
0.0000 0.0000 11.9582
Sm Ru N Ac
4 2 8 2
Cartesian
1.7833 1.5970 5.4600
1.7833 1.5970 0.5190
0.0000 4.4673 11.4391
0.0000 4.4673 6.4981
0.0000 1.8705 2.9895
1.7833 4.1938 8.9686
0.0000 0.0000 0.0000
1.7833 2.8218 7.5039
0.0000 5.1579 8.9686
0.0000 3.2424 1.5248
1.7833 2.8218 10.4333
0.0000 3.2424 4.4542
0.0000 0.0000 5.9791
1.7833 0.9064 2.9895
1.7833 4.7400 2.9895
0.0000 1.3243 8.9686
```

- space group = Cmcm, No. 63
- calculated total energy (eV/atom) = -7.91

=====

(9)
Density functional theory data (PBE-GGA) for a relaxed structure of AcSnRuN.

POSCAR file:
```
AcSnRuN
1.0
4.2711 0.0000 0.0000
0.0000 4.2711 0.0000
0.0000 0.0000 9.2738
Ac Ru Sn N
2 2 2 2
Cartesian
2.1355 0.0000 1.4112
0.0000 2.1355 7.8626
2.1355 0.0000 6.3116
0.0000 2.1355 2.9622
2.1355 2.1355 4.6369
0.0000 0.0000 4.6369
2.1355 0.0000 8.2230
0.0000 2.1355 1.0508
```

- space group = P4/nmm, No. 129
- calculated total energy (eV/atom) = -6.96

=====

(10)
Density functional theory data (PBE-GGA) for a relaxed structure of AcSnRu2N.

POSCAR file:
```
AcSnRu2N
1.0
4.2876 0.0000 0.0000
-2.1438 5.9581 0.0000
0.0000 0.0000 7.5421
Ru Ac Sn N
4 2 2 2
Cartesian
2.1438 4.1434 3.3508
0.0000 1.8146 4.1913
0.0000 1.8146 7.1218
2.1438 4.1434 0.4202
2.1438 0.6543 1.8855
0.0000 5.3038 5.6566
2.1438 2.6814 5.6566
0.0000 3.2767 1.8855
0.0000 0.0000 0.0000
0.0000 0.0000 3.7710
```

- space group = Cmcm, No. 63
- calculated total energy (eV/atom) = -7.44

=====

(11)
Density functional theory data (PBE-GGA) for a relaxed structure of Ac6Sn2RuN.

POSCAR file:
```
Ac6Sn2RuN
1.0
7.8678 0.0000 0.0000
0.0000 7.9935 0.0000
0.0000 0.0000 10.8892
Sn Ac Ru N
4 12 2 2
Cartesian
3.9339 6.0281 8.2241
0.0000 1.9654 2.7794
3.9339 6.0281 2.6652
0.0000 1.9654 8.1098
1.9764 3.9064 5.4446
3.9339 1.8305 2.8771
5.9103 4.0871 0.0000
0.0000 6.1630 8.3217
1.9002 0.0295 0.0000
1.9575 4.0871 0.0000
3.9339 1.8305 8.0121
5.8341 7.9640 5.4446
0.0000 6.1630 2.5675
5.8914 3.9064 5.4446
5.9675 0.0295 0.0000
2.0336 7.9640 5.4446
0.0000 6.0302 5.4446
3.9339 1.9633 0.0000
3.9339 2.3701 5.4446
0.0000 5.6234 0.0000
```

- space group = Pmmn, No. 59
- calculated total energy (eV/atom) = -5.48

=====

(12)
Density functional theory data (PBE-GGA) for a relaxed structure of Sr2AcRuN4.

POSCAR file:
```
Sr2AcRuN4
1.0
3.6212 0.0000 0.0000
-1.8106 6.1522 0.0000
0.0000 0.0000 12.7015
N Ru Ac Sr
8 2 2 4
Cartesian
0.0000 0.0000 0.0000
1.8106 2.7635 10.8824
0.0000 3.3886 4.5317
0.0000 3.3886 1.8191
0.0000 4.9578 9.5261
0.0000 0.0000 6.3507
1.8106 1.1944 3.1754
1.8106 2.7635 8.1698
0.0000 2.0558 3.1754
1.8106 4.0964 9.5261
0.0000 1.2925 9.5261
1.8106 4.8597 3.1754
0.0000 4.5312 6.8307
1.8106 1.6210 0.4799
0.0000 4.5312 12.2215
1.8106 1.6210 5.8708
```

- space group = Cmcm, No. 63
- calculated total energy (eV/atom) = -6.66